[1]
# BeNbAlCu (PBE-GGA, optimized geometry)
data_BeNbAlCu
_chemical_formula_sum 'Be4 Nb4 Al4 Cu4'
_space_group_name_H-M_alt 'F -4 3 m'
_space_group_IT_number 216
_space_group_name_Hall 'F -4 2 3'
_cell_length_a 5.9956
_cell_length_b 5.9956
_cell_length_c 5.9956
_cell_angle_alpha 90.00
_cell_angle_beta 90.00
_cell_angle_gamma 90.00
loop_
_atom_site_label
_atom_site_fract_x
_atom_site_fract_y
_atom_site_fract_z
Be1 0.0000 0.0000 0.0000
Nb1 0.2500 0.2500 0.2500
Al1 0.0000 0.0000 0.5000
Cu1 0.2500 0.2500 0.7500
# volume = 13.47 Å³ per atom
# raw total energy = -5.22 eV per atom

---

[2]
# BeAl2Cu4Ni (PBE-GGA, optimized geometry)
data_BeAl2Cu4Ni
_chemical_formula_sum 'Be4 Al8 Cu16 Ni4'
_space_group_name_H-M_alt 'I 41/a m d'
_space_group_IT_number 141
_cell_length_a 5.7300
_cell_length_b 5.7300
_cell_length_c 11.2622
_cell_angle_alpha 90.00
_cell_angle_beta 90.00
_cell_angle_gamma 90.00
loop_
_space_group_symop_operation_xyz
'x,y,z'
'-x,-y,-z'
'-y+1/4,x+3/4,z+1/4'
'y+1/4,-x+3/4,-z+1/4'
'-x+1/2,-y,z+1/2'
'x+1/2,y,-z+1/2'
'y+1/4,-x+1/4,z+3/4'
'-y+1/4,x+1/4,-z+3/4'
'x,-y,-z'
'-x,y,z'
'-y+1/4,-x+1/4,-z+3/4'
'y+1/4,x+1/4,z+3/4'
'-x+1/2,y,-z+1/2'
'x+1/2,-y,z+1/2'
'y+1/4,x+3/4,-z+1/4'
'-y+1/4,-x+3/4,z+1/4'
'x+1/2,y+1/2,z+1/2'
'-x+1/2,-y+1/2,-z+1/2'
'-y+3/4,x+1/4,z+3/4'
'y+3/4,-x+1/4,-z+3/4'
'-x,-y+1/2,z'
'x,y+1/2,-z'
'y+3/4,-x+3/4,z+1/4'
'-y+3/4,x+3/4,-z+1/4'
'x+1/2,-y+1/2,-z+1/2'
'-x+1/2,y+1/2,z+1/2'
'-y+3/4,-x+3/4,-z+1/4'
'y+3/4,x+3/4,z+1/4'
'-x,y+1/2,-z'
'x,-y+1/2,z'
'y+3/4,x+1/4,-z+3/4'
'-y+3/4,-x+1/4,z+3/4'
loop_
_atom_site_label
_atom_site_fract_x
_atom_site_fract_y
_atom_site_fract_z
Be1 0.0000 0.2500 0.3750
Al1 0.0000 0.2500 0.1112
Cu1 0.2249 0.0000 0.5000
Ni1 0.0000 0.2500 0.8750
# volume = 11.56 Å³ per atom
# raw total energy = -4.15 eV per atom

---

[3]
# BeAl2Cu4Ni (PBE-GGA, optimized geometry)
data_BeAl2Cu4Ni
_chemical_formula_sum 'Be1 Al2 Cu4 Ni1'
_space_group_name_H-M_alt 'P 4/m m m'
_space_group_IT_number 123
_space_group_name_Hall '-P 4 2'
_cell_length_a 3.9562
_cell_length_b 3.9562
_cell_length_c 5.9567
_cell_angle_alpha 90.00
_cell_angle_beta 90.00
_cell_angle_gamma 90.00
loop_
_atom_site_label
_atom_site_fract_x
_atom_site_fract_y
_atom_site_fract_z
Be1 0.0000 0.0000 0.0000
Al1 0.0000 0.0000 0.5000
Al2 0.5000 0.5000 0.0000
Cu1 0.0000 0.5000 0.2372
Ni1 0.5000 0.5000 0.5000
# volume = 11.65 Å³ per atom
# raw total energy = -4.14 eV per atom

---

[4]
# BeAl2Cu4Ni (PBE-GGA, optimized geometry)
data_BeAl2Cu4Ni
_chemical_formula_sum 'Be4 Al8 Cu16 Ni4'
_space_group_name_H-M_alt 'I 41/a m d'
_space_group_IT_number 141
_cell_length_a 5.7295
_cell_length_b 5.7295
_cell_length_c 11.2648
_cell_angle_alpha 90.00
_cell_angle_beta 90.00
_cell_angle_gamma 90.00
loop_
_space_group_symop_operation_xyz
'x,y,z'
'-x,-y,-z'
'-y+1/4,x+3/4,z+1/4'
'y+1/4,-x+3/4,-z+1/4'
'-x+1/2,-y,z+1/2'
'x+1/2,y,-z+1/2'
'y+1/4,-x+1/4,z+3/4'
'-y+1/4,x+1/4,-z+3/4'
'x,-y,-z'
'-x,y,z'
'-y+1/4,-x+1/4,-z+3/4'
'y+1/4,x+1/4,z+3/4'
'-x+1/2,y,-z+1/2'
'x+1/2,-y,z+1/2'
'y+1/4,x+3/4,-z+1/4'
'-y+1/4,-x+3/4,z+1/4'
'x+1/2,y+1/2,z+1/2'
'-x+1/2,-y+1/2,-z+1/2'
'-y+3/4,x+1/4,z+3/4'
'y+3/4,-x+1/4,-z+3/4'
'-x,-y+1/2,z'
'x,y+1/2,-z'
'y+3/4,-x+3/4,z+1/4'
'-y+3/4,x+3/4,-z+1/4'
'x+1/2,-y+1/2,-z+1/2'
'-x+1/2,y+1/2,z+1/2'
'-y+3/4,-x+3/4,-z+1/4'
'y+3/4,x+3/4,z+1/4'
'-x,y+1/2,-z'
'x,-y+1/2,z'
'y+3/4,x+1/4,-z+3/4'
'-y+3/4,-x+1/4,z+3/4'
loop_
_atom_site_label
_atom_site_fract_x
_atom_site_fract_y
_atom_site_fract_z
Be1 0.0000 0.2500 0.3750
Al1 0.0000 0.2500 0.1112
Cu1 0.2250 0.0000 0.5000
Ni1 0.0000 0.2500 0.8750
# volume = 11.56 Å³ per atom
# raw total energy = -4.15 eV per atom

---

[5]
# BeAlCuOs (PBE-GGA, optimized geometry)
data_BeAlCuOs
_chemical_formula_sum 'Be4 Al4 Cu4 Os4'
_space_group_name_H-M_alt 'F -4 3 m'
_space_group_IT_number 216
_space_group_name_Hall 'F -4 2 3'
_cell_length_a 5.7818
_cell_length_b 5.7818
_cell_length_c 5.7818
_cell_angle_alpha 90.00
_cell_angle_beta 90.00
_cell_angle_gamma 90.00
loop_
_atom_site_label
_atom_site_fract_x
_atom_site_fract_y
_atom_site_fract_z
Be1 0.0000 0.0000 0.0000
Al1 0.0000 0.0000 0.5000
Cu1 0.2500 0.2500 0.7500
Os1 0.2500 0.2500 0.2500
# volume = 12.08 Å³ per atom
# raw total energy = -5.76 eV per atom

---

[6]
# BeAlCuOs (PBE-GGA, optimized geometry)
data_BeAlCuOs
_chemical_formula_sum 'Be4 Al4 Cu4 Os4'
_space_group_name_H-M_alt 'F -4 3 m'
_space_group_IT_number 216
_space_group_name_Hall 'F -4 2 3'
_cell_length_a 5.7923
_cell_length_b 5.7923
_cell_length_c 5.7923
_cell_angle_alpha 90.00
_cell_angle_beta 90.00
_cell_angle_gamma 90.00
loop_
_atom_site_label
_atom_site_fract_x
_atom_site_fract_y
_atom_site_fract_z
Be1 0.0000 0.0000 0.0000
Al1 0.2500 0.2500 0.2500
Cu1 0.0000 0.0000 0.5000
Os1 0.2500 0.2500 0.7500
# volume = 12.15 Å³ per atom
# raw total energy = -5.58 eV per atom

---

[7]
# BeAlCuRe (PBE-GGA, optimized geometry)
data_BeAlCuRe
_chemical_formula_sum 'Be4 Al4 Cu4 Re4'
_space_group_name_H-M_alt 'F -4 3 m'
_space_group_IT_number 216
_space_group_name_Hall 'F -4 2 3'
_cell_length_a 5.8183
_cell_length_b 5.8183
_cell_length_c 5.8183
_cell_angle_alpha 90.00
_cell_angle_beta 90.00
_cell_angle_gamma 90.00
loop_
_atom_site_label
_atom_site_fract_x
_atom_site_fract_y
_atom_site_fract_z
Be1 0.0000 0.0000 0.0000
Al1 0.0000 0.0000 0.5000
Cu1 0.2500 0.2500 0.7500
Re1 0.2500 0.2500 0.2500
# volume = 12.31 Å³ per atom
# raw total energy = -5.81 eV per atom

---

[8]
# BeAlCuRe (PBE-GGA, optimized geometry)
data_BeAlCuRe
_chemical_formula_sum 'Be4 Al4 Cu4 Re4'
_space_group_name_H-M_alt 'F -4 3 m'
_space_group_IT_number 216
_space_group_name_Hall 'F -4 2 3'
_cell_length_a 5.8229
_cell_length_b 5.8229
_cell_length_c 5.8229
_cell_angle_alpha 90.00
_cell_angle_beta 90.00
_cell_angle_gamma 90.00
loop_
_atom_site_label
_atom_site_fract_x
_atom_site_fract_y
_atom_site_fract_z
Be1 0.0000 0.0000 0.0000
Al1 0.2500 0.2500 0.2500
Cu1 0.0000 0.0000 0.5000
Re1 0.2500 0.2500 0.7500
# volume = 12.34 Å³ per atom
# raw total energy = -5.68 eV per atom

---

Q: Which of these has the highest volume?
A: BeNbAlCu

---

Repeat the fifth record exactly.
# BeAlCuOs (PBE-GGA, optimized geometry)
data_BeAlCuOs
_chemical_formula_sum 'Be4 Al4 Cu4 Os4'
_space_group_name_H-M_alt 'F -4 3 m'
_space_group_IT_number 216
_space_group_name_Hall 'F -4 2 3'
_cell_length_a 5.7818
_cell_length_b 5.7818
_cell_length_c 5.7818
_cell_angle_alpha 90.00
_cell_angle_beta 90.00
_cell_angle_gamma 90.00
loop_
_atom_site_label
_atom_site_fract_x
_atom_site_fract_y
_atom_site_fract_z
Be1 0.0000 0.0000 0.0000
Al1 0.0000 0.0000 0.5000
Cu1 0.2500 0.2500 0.7500
Os1 0.2500 0.2500 0.2500
# volume = 12.08 Å³ per atom
# raw total energy = -5.76 eV per atom

---

Q: Which of these has the lowest raw total energy?
A: number 7